Material: CaYZn4
Method: DFT, PBE-GGA
State: relaxed

Summary:
Calculated total energy, eV for the cell shown: -15.56
ΔH_f (0 K), eV/atom: -0.33
DOS at the Fermi energy, states/eV per cell: 4.0

Cell: 5.770 5.770 4.467 Å, 112.63 112.63 84.37°
Fractional positions:
Ca: 0.000 0.000 0.000
Y: 0.500 0.500 0.500
Zn: 0.094 0.428 0.761
Zn: 0.428 0.094 0.761
Zn: 0.572 0.906 0.239
Zn: 0.906 0.572 0.239